# LiTa2Cl (GGA-PBE, relaxed)
data_LiTa2Cl
_chemical_formula_sum 'Li2 Ta4 Cl2'
_cell_length_a 3.398
_cell_length_b 4.985
_cell_length_c 8.459
_cell_angle_alpha 90.00
_cell_angle_beta 90.00
_cell_angle_gamma 90.00
_symmetry_space_group_name_H-M 'C m m 2'
_symmetry_Int_Tables_number 35
_symmetry_space_group_name_Hall 'C 2 -2'
loop_
_atom_site_label
_atom_site_type_symbol
_atom_site_fract_x
_atom_site_fract_y
_atom_site_fract_z
_atom_site_occupancy
Li1 Li 0.000 0.000 0.000 1
Ta1 Ta 0.000 0.000 0.540 1
Ta2 Ta 0.000 0.500 0.294 1
Cl1 Cl 0.000 0.500 0.801 1
# E_form (uncorrected) in meV per atom: -134

=====

# YCd2Ru (GGA-PBE, relaxed)
data_YCd2Ru
_chemical_formula_sum 'Y1 Cd2 Ru1'
_cell_length_a 3.235
_cell_length_b 4.933
_cell_length_c 5.480
_cell_angle_alpha 90.00
_cell_angle_beta 106.35
_cell_angle_gamma 90.00
_symmetry_space_group_name_H-M 'P 1 2/m 1'
_symmetry_Int_Tables_number 10
_symmetry_space_group_name_Hall '-P 2y'
loop_
_atom_site_label
_atom_site_type_symbol
_atom_site_fract_x
_atom_site_fract_y
_atom_site_fract_z
_atom_site_occupancy
Y1 Y 0.000 0.000 0.000 1
Cd1 Cd 0.344 0.500 0.726 1
Ru1 Ru 0.500 0.000 0.500 1
# Formation enthalpy at 0 K in eV per atom: -0.0032

=====

# La3Tb6NdEr2 (GGA-PBE, relaxed)
data_La3Tb6NdEr2
_chemical_formula_sum 'La6 Tb12 Nd2 Er4'
_cell_length_a 6.251
_cell_length_b 10.830
_cell_length_c 11.947
_cell_angle_alpha 90.00
_cell_angle_beta 100.05
_cell_angle_gamma 90.00
_symmetry_space_group_name_H-M 'C 1 2/m 1'
_symmetry_Int_Tables_number 12
_symmetry_space_group_name_Hall '-C 2y'
loop_
_atom_site_label
_atom_site_type_symbol
_atom_site_fract_x
_atom_site_fract_y
_atom_site_fract_z
_atom_site_occupancy
La1 La 0.000 0.000 0.000 1
La2 La 0.000 0.333 0.000 1
Tb1 Tb 0.247 0.000 0.745 1
Tb2 Tb 0.249 0.333 0.745 1
Nd1 Nd 0.000 0.500 0.500 1
Er1 Er 0.000 0.167 0.500 1
# Formation enthalpy at 0 K in eV per atom: 0.0202

=====

# ZnHg5 (GGA-PBE, relaxed)
data_ZnHg5
_chemical_formula_sum 'Zn4 Hg20'
_cell_length_a 9.010
_cell_length_b 9.010
_cell_length_c 9.010
_cell_angle_alpha 90.00
_cell_angle_beta 90.00
_cell_angle_gamma 90.00
_symmetry_space_group_name_H-M 'F -4 3 m'
_symmetry_Int_Tables_number 216
_symmetry_space_group_name_Hall 'F -4 2 3'
loop_
_atom_site_label
_atom_site_type_symbol
_atom_site_fract_x
_atom_site_fract_y
_atom_site_fract_z
_atom_site_occupancy
Zn1 Zn 0.000 0.000 0.000 1
Hg1 Hg 0.125 0.125 0.375 1
Hg2 Hg 0.250 0.250 0.750 1
# Formation enthalpy at 0 K in eV per atom: 0.1415

=====

# Pm5Ga2Bi2 (GGA-PBE, relaxed)
data_Pm5Ga2Bi2
_chemical_formula_sum 'Pm20 Ga8 Bi8'
_cell_length_a 15.991
_cell_length_b 8.224
_cell_length_c 8.216
_cell_angle_alpha 90.00
_cell_angle_beta 90.00
_cell_angle_gamma 90.00
_symmetry_space_group_name_H-M 'C m c e'
_symmetry_Int_Tables_number 64
_symmetry_space_group_name_Hall '-C 2ac 2'
loop_
_atom_site_label
_atom_site_type_symbol
_atom_site_fract_x
_atom_site_fract_y
_atom_site_fract_z
_atom_site_occupancy
Pm1 Pm 0.000 0.000 0.000 1
Pm2 Pm 0.129 0.173 0.329 1
Ga1 Ga 0.000 0.121 0.620 1
Bi1 Bi 0.207 0.000 0.000 1
# Formation enthalpy at 0 K in eV per atom: -0.7098

=====

# ErUTc2 (GGA-PBE, relaxed)
data_ErUTc2
_chemical_formula_sum 'Er1 U1 Tc2'
_cell_length_a 4.779
_cell_length_b 4.779
_cell_length_c 3.365
_cell_angle_alpha 90.00
_cell_angle_beta 90.00
_cell_angle_gamma 90.00
_symmetry_space_group_name_H-M 'P 4/m m m'
_symmetry_Int_Tables_number 123
_symmetry_space_group_name_Hall '-P 4 2'
loop_
_atom_site_label
_atom_site_type_symbol
_atom_site_fract_x
_atom_site_fract_y
_atom_site_fract_z
_atom_site_occupancy
Er1 Er 0.000 0.000 0.000 1
U1 U 0.500 0.500 0.000 1
Tc1 Tc 0.000 0.500 0.500 1
# Formation enthalpy at 0 K in eV per atom: -0.0415

=====

# Tm3Ag5 (GGA-PBE, relaxed)
data_Tm3Ag5
_chemical_formula_sum 'Tm3 Ag5'
_cell_length_a 7.4478
_cell_length_b 7.4478
_cell_length_c 3.7402
_cell_angle_alpha 90.00
_cell_angle_beta 90.00
_cell_angle_gamma 120.00
_symmetry_space_group_name_H-M 'P -6 2 m'
_symmetry_Int_Tables_number 189
_symmetry_space_group_name_Hall 'P -6 -2'
loop_
_atom_site_label
_atom_site_type_symbol
_atom_site_fract_x
_atom_site_fract_y
_atom_site_fract_z
_atom_site_occupancy
Tm1 Tm 0.0000 0.6131 0.0000 1
Ag1 Ag 0.0000 0.2327 0.5000 1
Ag2 Ag 0.3333 0.6667 0.5000 1
# Formation enthalpy at 0 K in eV per atom: -0.2567

=====

# Sc3Zn3Pd (GGA-PBE, relaxed)
data_Sc3Zn3Pd
_chemical_formula_sum 'Sc12 Zn12 Pd4'
_cell_length_a 9.463
_cell_length_b 8.965
_cell_length_c 6.364
_cell_angle_alpha 90.00
_cell_angle_beta 90.39
_cell_angle_gamma 90.00
_symmetry_space_group_name_H-M 'C 1 2/m 1'
_symmetry_Int_Tables_number 12
_symmetry_space_group_name_Hall '-C 2y'
loop_
_atom_site_label
_atom_site_type_symbol
_atom_site_fract_x
_atom_site_fract_y
_atom_site_fract_z
_atom_site_occupancy
Sc1 Sc 0.009 0.000 0.250 1
Sc2 Sc 0.249 0.235 0.750 1
Zn1 Zn 0.000 0.289 0.500 1
Zn2 Zn 0.000 0.339 0.000 1
Zn3 Zn 0.194 0.500 0.535 1
Pd1 Pd 0.249 0.000 0.020 1
# Formation enthalpy at 0 K in eV per atom: -0.3358